# 1
Entry from Alexandria via LeMat-Bulk: a geometry-optimized Zr2WCl structure (GGA-PBEsol).

```
data_Zr2WCl
_cell_length_a 3.202
_cell_length_b 3.324
_cell_length_c 7.695
_cell_angle_alpha 90.00
_cell_angle_beta 90.00
_cell_angle_gamma 90.00
_space_group_name_H-M_alt 'P m m m'
_space_group_IT_number 47
loop_
_space_group_symop_operation_xyz
'x,y,z'
'-x,-y,-z'
'-x,-y,z'
'x,y,-z'
'x,-y,-z'
'-x,y,z'
'-x,y,-z'
'x,-y,z'
loop_
_atom_site_label
_atom_site_fract_x
_atom_site_fract_y
_atom_site_fract_z
_atom_site_occupancy
Zr1 0.000 0.000 0.211 1
W1 0.500 0.500 0.000 1
Cl1 0.500 0.000 0.500 1
```

## Properties
Energy relative to the elements, uncorrected (kJ/mol of formula units): -175

---

# 2
Entry from Alexandria via LeMat-Bulk: a geometry-optimized YCl3 structure (GGA-PBEsol).

```
data_YCl3
_cell_length_a 3.739
_cell_length_b 8.387
_cell_length_c 6.800
_cell_angle_alpha 90.00
_cell_angle_beta 90.00
_cell_angle_gamma 90.00
_space_group_name_H-M_alt 'P m m n'
_space_group_IT_number 59
loop_
_space_group_symop_operation_xyz
'x,y,z'
'-x,-y,-z'
'-x+1/2,-y+1/2,z'
'x+1/2,y+1/2,-z'
'x+1/2,-y,-z'
'-x+1/2,y,z'
'-x,y+1/2,-z'
'x,-y+1/2,z'
loop_
_atom_site_label
_atom_site_fract_x
_atom_site_fract_y
_atom_site_fract_z
_atom_site_occupancy
Y1 0.250 0.250 0.017 1
Cl1 0.250 0.567 0.177 1
Cl2 0.250 0.750 0.712 1
```

## Properties
Energy relative to the elements, uncorrected (kJ/mol of formula units): -882

---

# 3
Entry from Alexandria via LeMat-Bulk: a geometry-optimized YCl3 structure (GGA-PBEsol).

```
data_YCl3
_cell_length_a 3.574
_cell_length_b 9.744
_cell_length_c 6.298
_cell_angle_alpha 90.00
_cell_angle_beta 90.00
_cell_angle_gamma 90.00
_space_group_name_H-M_alt 'I m m 2'
_space_group_IT_number 44
loop_
_space_group_symop_operation_xyz
'x,y,z'
'-x,-y,z'
'-x,y,z'
'x,-y,z'
'x+1/2,y+1/2,z+1/2'
'-x+1/2,-y+1/2,z+1/2'
'-x+1/2,y+1/2,z+1/2'
'x+1/2,-y+1/2,z+1/2'
loop_
_atom_site_label
_atom_site_fract_x
_atom_site_fract_y
_atom_site_fract_z
_atom_site_occupancy
Y1 0.000 0.000 0.000 1
Cl1 0.000 0.328 0.340 1
Cl2 0.000 0.500 0.806 1
```

## Properties
Energy relative to the elements, uncorrected (kJ/mol of formula units): -857

---

# 4
Entry from Alexandria via LeMat-Bulk: a geometry-optimized Y4Cl structure (GGA-PBEsol).

```
data_Y4Cl
_cell_length_a 6.543
_cell_length_b 6.543
_cell_length_c 6.543
_cell_angle_alpha 90.00
_cell_angle_beta 90.00
_cell_angle_gamma 90.00
_space_group_name_H-M_alt 'I m -3 m'
_space_group_IT_number 229
_space_group_name_Hall '-I 4 2 3'
loop_
_atom_site_label
_atom_site_fract_x
_atom_site_fract_y
_atom_site_fract_z
_atom_site_occupancy
Y1 0.250 0.250 0.250 1
Cl1 0.000 0.000 0.000 1
```

## Properties
Energy relative to the elements, uncorrected (kJ/mol of formula units): 34

---

# 5
Entry from Alexandria via LeMat-Bulk: a geometry-optimized YCl3 structure (GGA-PBEsol).

```
data_YCl3
_cell_length_a 6.854
_cell_length_b 11.897
_cell_length_c 6.545
_cell_angle_alpha 90.00
_cell_angle_beta 110.52
_cell_angle_gamma 90.00
_space_group_name_H-M_alt 'C 1 2/m 1'
_space_group_IT_number 12
loop_
_space_group_symop_operation_xyz
'x,y,z'
'-x,-y,-z'
'-x,y,-z'
'x,-y,z'
'x+1/2,y+1/2,z'
'-x+1/2,-y+1/2,-z'
'-x+1/2,y+1/2,-z'
'x+1/2,-y+1/2,z'
loop_
_atom_site_label
_atom_site_fract_x
_atom_site_fract_y
_atom_site_fract_z
_atom_site_occupancy
Y1 0.000 0.166 0.000 1
Cl1 0.211 0.000 0.242 1
Cl2 0.236 0.185 0.761 1
```

## Properties
Energy relative to the elements, uncorrected (kJ/mol of formula units): -878

---

# 6
Entry from Alexandria via LeMat-Bulk: a geometry-optimized YCl3 structure (GGA-PBEsol).

```
data_YCl3
_cell_length_a 6.795
_cell_length_b 6.795
_cell_length_c 6.795
_cell_angle_alpha 90.00
_cell_angle_beta 90.00
_cell_angle_gamma 90.00
_space_group_name_H-M_alt 'F m -3 m'
_space_group_IT_number 225
_space_group_name_Hall '-F 4 2 3'
loop_
_atom_site_label
_atom_site_fract_x
_atom_site_fract_y
_atom_site_fract_z
_atom_site_occupancy
Y1 0.000 0.000 0.000 1
Cl1 0.000 0.000 0.500 1
Cl2 0.250 0.250 0.250 1
```

## Properties
Energy relative to the elements, uncorrected (kJ/mol of formula units): -685

---

# 7
Entry from Alexandria via LeMat-Bulk: a geometry-optimized YCl3 structure (GGA-PBEsol).

```
data_YCl3
_cell_length_a 3.500
_cell_length_b 4.932
_cell_length_c 12.808
_cell_angle_alpha 90.00
_cell_angle_beta 90.00
_cell_angle_gamma 90.00
_space_group_name_H-M_alt 'I m m m'
_space_group_IT_number 71
_space_group_name_Hall '-I 2 2'
loop_
_atom_site_label
_atom_site_fract_x
_atom_site_fract_y
_atom_site_fract_z
_atom_site_occupancy
Y1 0.000 0.000 0.000 1
Cl1 0.000 0.000 0.500 1
Cl2 0.000 0.500 0.346 1
```

## Properties
Energy relative to the elements, uncorrected (kJ/mol of formula units): -786

---

# 8
Entry from Alexandria via LeMat-Bulk: a geometry-optimized YCl3 structure (GGA-PBEsol).

```
data_YCl3
_cell_length_a 5.222
_cell_length_b 12.805
_cell_length_c 3.901
_cell_angle_alpha 90.00
_cell_angle_beta 90.00
_cell_angle_gamma 90.00
_space_group_name_H-M_alt 'C m m m'
_space_group_IT_number 65
_space_group_name_Hall '-C 2 2'
loop_
_atom_site_label
_atom_site_fract_x
_atom_site_fract_y
_atom_site_fract_z
_atom_site_occupancy
Y1 0.000 0.000 0.000 1
Cl1 0.000 0.137 0.500 1
Cl2 0.000 0.500 0.000 1
```

## Properties
Energy relative to the elements, uncorrected (kJ/mol of formula units): -866